# Pm2PrYTl2

A geometry-optimized Pm2PrYTl2 structure (GGA-PBE, the Alexandria database).

## Properties
The formation energy is -0.282 eV/atom.

Unit cell a=5.233 b=10.245 c=6.919 alpha=90.00 beta=90.00 gamma=90.00
Space group Pmc2_1 (No. 26)
Inequivalent atoms, fractional coordinates:
Pm 0.000 0.045 0.000 x2
Pm 0.500 0.182 0.278 x2
Pr 0.500 0.457 0.908 x2
Y 0.000 0.312 0.629 x2
Tl 0.000 0.368 0.170 x2
Tl 0.500 0.140 0.744 x2

# PmPrTlZn

A geometry-optimized PmPrTlZn structure (GGA-PBE, the Alexandria database).

## Properties
The relative energy among the computed polymorphs comes out at 0.000 eV per atom. The formation energy is -0.351 eV/atom.

Unit cell a=3.768 b=3.768 c=7.741 alpha=90.00 beta=90.00 gamma=90.00
Space group P4mm (No. 99)
Inequivalent atoms, fractional coordinates:
Pm 0.000 0.000 0.000 x1
Pr 0.000 0.000 0.545 x1
Tl 0.500 0.500 0.267 x1
Zn 0.500 0.500 0.780 x1

# PmPr2Tl2Zn2

A geometry-optimized PmPr2Tl2Zn2 structure (GGA-PBE, the Alexandria database).

## Properties
The formation energy is -0.199 eV/atom.

Unit cell a=4.8107 b=4.8107 c=28.6938 alpha=90.00 beta=90.00 gamma=120.00
Space group R-3m (No. 166, hexagonal axes)
Inequivalent atoms, fractional coordinates:
Pm 0.0000 0.0000 0.0000 x3
Pr 0.0000 0.0000 0.1266 x6
Tl 0.0000 0.0000 0.2657 x6
Zn 0.0000 0.0000 0.3938 x6

# PmPrTlZn

A geometry-optimized PmPrTlZn structure (GGA-PBE, the Alexandria database).

## Properties
The relative energy among the computed polymorphs comes out at 0.022 eV per atom. The formation energy is -0.329 eV/atom.

Unit cell a=7.637 b=7.637 c=7.637 alpha=90.00 beta=90.00 gamma=90.00
Space group F-43m (No. 216)
Inequivalent atoms, fractional coordinates:
Pm 0.000 0.000 0.000 x4
Pr 0.000 0.000 0.500 x4
Tl 0.250 0.250 0.250 x4
Zn 0.250 0.250 0.750 x4

# Pm3Pr3TlZn2

A geometry-optimized Pm3Pr3TlZn2 structure (GGA-PBE, the Alexandria database).

## Properties
The formation energy is -0.140 eV/atom.

Unit cell a=8.8948 b=8.8948 c=3.9014 alpha=90.00 beta=90.00 gamma=120.00
Space group P-62m (No. 189)
Inequivalent atoms, fractional coordinates:
Pm 0.0000 0.6176 0.0000 x3
Pr 0.0000 0.2975 0.5000 x3
Tl 0.0000 0.0000 0.0000 x1
Zn 0.3333 0.6667 0.5000 x2

# Pm3PrTm5

A geometry-optimized Pm3PrTm5 structure (GGA-PBE, the Alexandria database).

## Properties
The formation energy is 0.253 eV/atom.

Unit cell a=8.664 b=8.664 c=15.468 alpha=90.00 beta=90.00 gamma=90.00
Space group I4/mcm (No. 140)
Inequivalent atoms, fractional coordinates:
Pm 0.000 0.000 0.250 x4
Pm 0.117 0.383 0.000 x8
Pr 0.000 0.500 0.250 x4
Tm 0.000 0.000 0.000 x4
Tm 0.209 0.291 0.363 x16

# Pm2PrTm4

A geometry-optimized Pm2PrTm4 structure (GGA-PBE, the Alexandria database).

## Properties
The relative energy among the computed polymorphs comes out at 0.212 eV per atom. The formation energy is 0.230 eV/atom.

Unit cell a=8.466 b=8.466 c=6.514 alpha=90.00 beta=90.00 gamma=90.00
Space group I4/mmm (No. 139)
Inequivalent atoms, fractional coordinates:
Pm 0.000 0.500 0.250 x4
Pr 0.000 0.000 0.000 x2
Tm 0.196 0.196 0.500 x8

# Pm2Pr5Tm3

A geometry-optimized Pm2Pr5Tm3 structure (GGA-PBE, the Alexandria database).

## Properties
The formation energy is 0.177 eV/atom.

Unit cell a=10.890 b=15.027 c=10.052 alpha=90.00 beta=122.62 gamma=90.00
Space group C2/c (No. 15)
Inequivalent atoms, fractional coordinates:
Pm 0.152 0.121 0.057 x8
Pr 0.000 0.229 0.250 x4
Pr 0.000 0.270 0.750 x4
Pr 0.000 0.477 0.750 x4
Pr 0.244 0.379 0.242 x8
Tm 0.000 0.022 0.250 x4
Tm 0.158 0.377 0.556 x8

# Pm3PrTm7

A geometry-optimized Pm3PrTm7 structure (GGA-PBE, the Alexandria database).

## Properties
The relative energy among the computed polymorphs comes out at 0.000 eV per atom. The formation energy is 0.157 eV/atom.

Unit cell a=6.957 b=5.493 c=9.956 alpha=90.00 beta=110.07 gamma=90.00
Space group P2/m (No. 10)
Inequivalent atoms, fractional coordinates:
Pm 0.000 0.000 0.000 x1
Pm 0.217 0.500 0.502 x2
Pr 0.500 0.000 0.000 x1
Tm 0.081 0.000 0.669 x2
Tm 0.179 0.500 0.859 x2
Tm 0.354 0.500 0.212 x2
Tm 0.500 0.000 0.500 x1

# Pm2Pr6Tm5

A geometry-optimized Pm2Pr6Tm5 structure (GGA-PBE, the Alexandria database).

## Properties
The formation energy is 0.105 eV/atom.

Unit cell a=11.832 b=20.570 c=3.651 alpha=90.00 beta=90.00 gamma=90.00
Space group Pbam (No. 55)
Inequivalent atoms, fractional coordinates:
Pm 0.165 0.214 0.000 x4
Pr 0.058 0.922 0.000 x4
Pr 0.082 0.634 0.000 x4
Pr 0.176 0.372 0.500 x4
Tm 0.000 0.500 0.500 x2
Tm 0.095 0.776 0.500 x4
Tm 0.200 0.056 0.500 x4